This record from the Alexandria database describes HfMn3Re after structural relaxation. The functional is GGA-PBE.

The excess energy over the best structure of this formula in the dataset is 0 meV per atom. As for the density of states at the Fermi level: 3.04 states/eV/f.u. The magnetic moment comes out at 1.228 μB per atom. Its space-group type is No. 221. For the total energy, the calculation gives -0.656 Ry per atom.

```
data_HfMn3Re
_chemical_formula_sum 'Hf1 Mn3 Re1'
_cell_length_a 4.525
_cell_length_b 4.525
_cell_length_c 4.525
_cell_angle_alpha 90.00
_cell_angle_beta 90.00
_cell_angle_gamma 90.00
_space_group_name_H-M_alt 'P 1'
_space_group_IT_number 1
loop_
_space_group_symop_operation_xyz
'x,y,z'
loop_
_atom_site_label
_atom_site_type_symbol
_atom_site_fract_x
_atom_site_fract_y
_atom_site_fract_z
Hf1 Hf 0.000 0.000 0.000
Mn1 Mn 0.000 0.500 0.500
Mn2 Mn 0.500 0.000 0.500
Mn3 Mn 0.500 0.500 0.000
Re1 Re 0.500 0.500 0.500
```